DFT (SCAN) results for Na2GdTa5O15 at its PBEsol-relaxed geometry.

Properties
The value obtained for the density of states at the Fermi level is 0.000 states/eV/cell. The value obtained for the formation energy (no corrections) is -3.05 eV/atom.

a b c (Å): 3.898 12.482 12.482
angles (deg): 90.00 90.00 90.00
Sites, in units of the cell vectors:
1 Na 0.500 0.657 0.157
2 Na 0.500 0.343 0.843
3 Na 0.500 0.157 0.343
4 Na 0.500 0.843 0.657
5 Gd 0.500 0.000 0.000
6 Gd 0.500 0.500 0.500
7 Ta 0.000 0.500 0.000
8 Ta 0.000 0.000 0.500
9 Ta 0.000 0.211 0.079
10 Ta 0.000 0.789 0.921
11 Ta 0.000 0.079 0.789
12 Ta 0.000 0.711 0.421
13 Ta 0.000 0.921 0.211
14 Ta 0.000 0.289 0.579
15 Ta 0.000 0.579 0.711
16 Ta 0.000 0.421 0.289
17 O 0.500 0.190 0.077
18 O 0.500 0.810 0.923
19 O 0.500 0.077 0.810
20 O 0.500 0.690 0.423
21 O 0.500 0.923 0.190
22 O 0.500 0.310 0.577
23 O 0.500 0.577 0.690
24 O 0.500 0.423 0.310
25 O 0.000 0.222 0.722
26 O 0.000 0.778 0.278
27 O 0.000 0.722 0.778
28 O 0.000 0.278 0.222
29 O 0.500 0.500 0.000
30 O 0.500 0.000 0.500
31 O 0.000 0.059 0.131
32 O 0.000 0.941 0.869
33 O 0.000 0.131 0.941
34 O 0.000 0.559 0.369
35 O 0.000 0.869 0.059
36 O 0.000 0.441 0.631
37 O 0.000 0.631 0.559
38 O 0.000 0.369 0.441
39 O 0.000 0.341 0.997
40 O 0.000 0.659 0.003
41 O 0.000 0.997 0.659
42 O 0.000 0.841 0.503
43 O 0.000 0.003 0.341
44 O 0.000 0.159 0.497
45 O 0.000 0.497 0.841
46 O 0.000 0.503 0.159

---

DFT (SCAN) results for LaMg2Cd at its PBEsol-relaxed geometry.

Properties
Its formation enthalpy at 0 K is -0.09 eV/f.u. The value obtained for the density of states at the Fermi level is 2.597 states/eV/cell.

a b c (Å): 3.255 3.255 11.076
angles (deg): 81.55 81.55 60.00
Sites, in units of the cell vectors:
1 Cd 0.500 0.500 0.500
2 La 0.000 0.000 0.000
3 Mg 0.241 0.241 0.277
4 Mg 0.759 0.759 0.723

---

DFT (SCAN) results for SrGa3Br at its PBEsol-relaxed geometry.

Properties
The value obtained for the density of states at the Fermi level is 7.245 states/eV/cell. The value obtained for the formation energy (no corrections) is 0.80 eV/atom.

a b c (Å): 5.903 5.903 5.903
angles (deg): 90.00 90.00 90.00
Sites, in units of the cell vectors:
1 Sr 0.000 0.000 0.000
2 Ga 0.000 0.500 0.000
3 Ga 0.000 0.000 0.500
4 Ga 0.500 0.000 0.000
5 Br 0.500 0.500 0.500

---

DFT (SCAN) results for Sc3Tl5 at its PBEsol-relaxed geometry.

Properties
Its formation enthalpy at 0 K is -2.57 eV/f.u. The value obtained for the density of states at the Fermi level is 4.119 states/eV/cell.

a b c (Å): 4.595 6.327 6.327
angles (deg): 92.21 90.00 90.00
Sites, in units of the cell vectors:
1 Sc 0.000 0.500 0.500
2 Sc 0.500 0.775 0.225
3 Sc 0.500 0.225 0.775
4 Tl 0.000 0.000 0.000
5 Tl 0.000 0.000 0.500
6 Tl 0.000 0.500 0.000
7 Tl 0.500 0.276 0.276
8 Tl 0.500 0.724 0.724

---

DFT (SCAN) results for Sr2ZrTl at its PBEsol-relaxed geometry.

Properties
Its formation enthalpy at 0 K is -0.04 eV/f.u. The value obtained for the density of states at the Fermi level is 2.723 states/eV/cell. The energy above the most stable polymorph in this dataset comes out at 0.000 eV per atom.

a b c (Å): 3.732 3.989 9.143
angles (deg): 90.00 90.00 90.00
Sites, in units of the cell vectors:
1 Sr 0.000 0.000 0.946
2 Sr 0.500 0.500 0.312
3 Tl 0.000 0.000 0.552
4 Zr 0.500 0.500 0.690

---

DFT (SCAN) results for KLa2CrCu at its PBEsol-relaxed geometry.

Properties
Its formation enthalpy at 0 K is 2.98 eV/f.u. The value obtained for the density of states at the Fermi level is 4.165 states/eV/cell.

a b c (Å): 5.023 5.133 5.133
angles (deg): 90.00 90.00 90.00
Sites, in units of the cell vectors:
1 Cr 0.000 0.000 0.000
2 K 0.500 0.500 0.500
3 Cu 0.500 0.000 0.000
4 La 0.000 0.000 0.500
5 La 0.000 0.500 0.000

---

DFT (SCAN) results for LiSnF3 at its PBEsol-relaxed geometry.

Properties
The value obtained for the formation energy (no corrections) is -2.07 eV/atom. The energy above the most stable polymorph in this dataset comes out at 0.465 eV per atom.

a b c (Å): 4.599 4.599 4.599
angles (deg): 90.00 90.00 90.00
Sites, in units of the cell vectors:
1 Li 0.500 0.500 0.500
2 Sn 0.000 0.000 0.000
3 F 0.000 0.500 0.000
4 F 0.000 0.000 0.500
5 F 0.500 0.000 0.000

---

DFT (SCAN) results for Co3W3N at its PBEsol-relaxed geometry.

Properties
The value obtained for the density of states at the Fermi level is 24.401 states/eV/cell. The value obtained for the formation energy (no corrections) is 0.02 eV/atom.

a b c (Å): 7.708 7.708 7.708
angles (deg): 60.00 60.00 60.00
Sites, in units of the cell vectors:
1 Co 0.835 0.835 0.494
2 Co 0.415 0.756 0.415
3 Co 0.415 0.415 0.415
4 Co 0.756 0.415 0.415
5 Co 0.835 0.835 0.835
6 Co 0.494 0.835 0.835
7 Co 0.835 0.494 0.835
8 Co 0.415 0.415 0.756
9 Co 0.625 0.625 0.125
10 Co 0.625 0.125 0.625
11 Co 0.625 0.625 0.625
12 Co 0.125 0.625 0.625
13 W 0.043 0.043 0.457
14 W 0.207 0.793 0.793
15 W 0.793 0.207 0.207
16 W 0.793 0.793 0.207
17 W 0.793 0.207 0.793
18 W 0.207 0.793 0.207
19 W 0.457 0.043 0.457
20 W 0.043 0.457 0.457
21 W 0.457 0.043 0.043
22 W 0.043 0.457 0.043
23 W 0.207 0.207 0.793
24 W 0.457 0.457 0.043
25 N 0.125 0.125 0.625
26 N 0.125 0.625 0.125
27 N 0.125 0.125 0.125
28 N 0.625 0.125 0.125

---

DFT (SCAN) results for Se2Br at its PBEsol-relaxed geometry.

Properties
The value obtained for the density of states at the Fermi level is 0.838 states/eV/cell. The value obtained for the formation energy (no corrections) is 0.08 eV/atom. The energy above the most stable polymorph in this dataset comes out at 0.143 eV per atom.

a b c (Å): 3.863 3.863 5.961
angles (deg): 108.91 108.91 90.00
Sites, in units of the cell vectors:
1 Se 0.756 0.756 0.512
2 Se 0.244 0.244 0.488
3 Br 0.000 0.000 0.000

---

DFT (SCAN) results for CuPt2Rh at its PBEsol-relaxed geometry.

Properties
Its formation enthalpy at 0 K is -0.20 eV/f.u. The value obtained for the density of states at the Fermi level is 5.117 states/eV/cell.

a b c (Å): 2.707 4.653 4.675
angles (deg): 99.83 89.99 106.88
Sites, in units of the cell vectors:
1 Rh 0.500 0.000 0.000
2 Cu 0.000 0.000 0.500
3 Pt 0.750 0.499 0.750
4 Pt 0.250 0.501 0.250

---

DFT (SCAN) results for Sr3Hg at its PBEsol-relaxed geometry.

Properties
Its formation enthalpy at 0 K is -1.37 eV/f.u. The value obtained for the density of states at the Fermi level is 8.524 states/eV/cell. The energy above the most stable polymorph in this dataset comes out at 0.045 eV per atom.

a b c (Å): 4.605 8.732 8.732
angles (deg): 105.31 90.00 90.00
Sites, in units of the cell vectors:
1 Hg 0.750 0.723 0.277
2 Hg 0.250 0.277 0.723
3 Sr 0.750 0.115 0.885
4 Sr 0.250 0.885 0.115
5 Sr 0.750 0.561 0.819
6 Sr 0.250 0.439 0.181
7 Sr 0.250 0.819 0.561
8 Sr 0.750 0.181 0.439

---

DFT (SCAN) results for KSbTe2 at its PBEsol-relaxed geometry.

Properties
The value obtained for the density of states at the Fermi level is 1.074 states/eV/cell. The value obtained for the formation energy (no corrections) is -0.36 eV/atom.

a b c (Å): 3.104 6.509 6.509
angles (deg): 90.06 79.14 79.14
Sites, in units of the cell vectors:
1 K 0.000 0.500 0.500
2 Sb 0.000 0.000 0.000
3 Te 0.000 0.500 0.000
4 Te 0.000 0.000 0.500

---

DFT (SCAN) results for LiNdSn2 at its PBEsol-relaxed geometry.

Properties
Its formation enthalpy at 0 K is -2.66 eV/f.u. The value obtained for the density of states at the Fermi level is 1.852 states/eV/cell.

a b c (Å): 4.427 4.468 9.721
angles (deg): 90.00 103.16 90.00
Sites, in units of the cell vectors:
1 Li 0.675 0.250 0.349
2 Li 0.325 0.750 0.651
3 Nd 0.893 0.250 0.787
4 Nd 0.107 0.750 0.213
5 Sn 0.251 0.250 0.501
6 Sn 0.749 0.750 0.499
7 Sn 0.544 0.250 0.088
8 Sn 0.456 0.750 0.912

---

DFT (SCAN) results for LiMg2Pb at its PBEsol-relaxed geometry.

Properties
Its formation enthalpy at 0 K is -0.75 eV/f.u. The value obtained for the density of states at the Fermi level is 1.110 states/eV/cell.

a b c (Å): 3.643 3.956 6.216
angles (deg): 90.00 90.00 90.00
Sites, in units of the cell vectors:
1 Pb 0.500 0.500 0.000
2 Mg 0.000 0.000 0.742
3 Mg 0.000 0.000 0.258
4 Li 0.500 0.500 0.500

---

DFT (SCAN) results for YAl4Ni at its PBEsol-relaxed geometry.

Properties
Its formation enthalpy at 0 K is -3.72 eV/f.u. The value obtained for the density of states at the Fermi level is 4.078 states/eV/cell.

a b c (Å): 4.035 6.548 7.913
angles (deg): 90.00 104.77 90.00
Sites, in units of the cell vectors:
1 Y 0.382 0.750 0.765
2 Y 0.618 0.250 0.235
3 Ni 0.274 0.250 0.548
4 Ni 0.726 0.750 0.452
5 Al 0.811 0.052 0.622
6 Al 0.189 0.948 0.378
7 Al 0.189 0.552 0.378
8 Al 0.811 0.448 0.622
9 Al 0.000 0.500 0.000
10 Al 0.000 0.000 0.000
11 Al 0.424 0.250 0.848
12 Al 0.576 0.750 0.152

---

DFT (SCAN) results for Al8Pt at its PBEsol-relaxed geometry.

Properties
Its formation enthalpy at 0 K is -2.59 eV/f.u. The value obtained for the density of states at the Fermi level is 3.357 states/eV/cell.

a b c (Å): 3.944 6.280 6.280
angles (deg): 84.34 71.70 71.70
Sites, in units of the cell vectors:
1 Al 0.338 0.000 0.324
2 Al 0.662 0.000 0.676
3 Al 0.670 0.330 0.330
4 Al 0.338 0.324 0.000
5 Al 0.000 0.330 0.670
6 Al 0.662 0.676 0.000
7 Al 0.330 0.670 0.670
8 Al 0.000 0.670 0.330
9 Pt 0.000 0.000 0.000

---

DFT (SCAN) results for CrCd2Cl at its PBEsol-relaxed geometry.

Properties
The value obtained for the density of states at the Fermi level is 1.168 states/eV/cell. The value obtained for the formation energy (no corrections) is -0.01 eV/atom. The energy above the most stable polymorph in this dataset comes out at 0.214 eV per atom.

a b c (Å): 3.188 5.046 5.046
angles (deg): 90.00 90.00 90.00
Sites, in units of the cell vectors:
1 Cr 0.500 0.000 0.000
2 Cl 0.500 0.500 0.500
3 Cd 0.000 0.000 0.500
4 Cd 0.000 0.500 0.000

---

DFT (SCAN) results for NiHgSb2 at its PBEsol-relaxed geometry.

Properties
The value obtained for the density of states at the Fermi level is 1.684 states/eV/cell. The value obtained for the formation energy (no corrections) is 0.10 eV/atom.

a b c (Å): 3.283 4.058 7.049
angles (deg): 106.73 103.47 90.00
Sites, in units of the cell vectors:
1 Hg 0.564 0.564 0.127
2 Ni 0.275 0.775 0.549
3 Sb 0.925 0.925 0.850
4 Sb 0.736 0.236 0.473

---

DFT (SCAN) results for Li15H9N8 at its PBEsol-relaxed geometry.

Properties
The value obtained for the density of states at the Fermi level is 0.000 states/eV/cell. Its total DFT energy (no corrections) is -321.4 eV per cell.

a b c (Å): 7.004 7.031 10.125
angles (deg): 90.00 90.00 91.48
Sites, in units of the cell vectors:
1 Li 0.627 0.233 0.612
2 Li 0.627 0.733 0.388
3 Li 0.173 0.752 0.142
4 Li 0.173 0.252 0.858
5 Li 0.634 0.285 0.110
6 Li 0.634 0.785 0.890
7 Li 0.131 0.768 0.615
8 Li 0.131 0.268 0.385
9 Li 0.625 0.214 0.891
10 Li 0.625 0.714 0.109
11 Li 0.141 0.727 0.385
12 Li 0.141 0.227 0.615
13 Li 0.884 0.268 0.755
14 Li 0.884 0.768 0.245
15 Li 0.890 0.996 0.880
16 Li 0.890 0.496 0.120
17 Li 0.326 0.497 0.596
18 Li 0.326 0.997 0.404
19 Li 0.869 0.015 0.111
20 Li 0.869 0.515 0.889
21 Li 0.381 0.509 0.367
22 Li 0.381 0.009 0.633
23 Li 0.884 0.990 0.626
24 Li 0.884 0.490 0.374
25 Li 0.415 0.503 0.902
26 Li 0.415 0.003 0.098
27 Li 0.919 0.002 0.402
28 Li 0.919 0.502 0.598
29 Li 0.374 0.495 0.133
30 Li 0.374 0.995 0.867
31 H 0.774 0.239 0.451
32 H 0.774 0.739 0.549
33 H 0.270 0.739 0.950
34 H 0.270 0.239 0.050
35 H 0.482 0.253 0.434
36 H 0.482 0.753 0.566
37 H 0.004 0.759 0.975
38 H 0.004 0.259 0.025
39 H 0.112 0.885 0.795
40 H 0.112 0.385 0.205
41 H 0.645 0.584 0.697
42 H 0.645 0.084 0.303
43 H 0.148 0.086 0.204
44 H 0.148 0.586 0.796
45 H 0.634 0.393 0.302
46 H 0.634 0.893 0.698
47 H 0.510 0.405 0.737
48 H 0.510 0.905 0.263
49 N 0.395 0.249 0.996
50 N 0.395 0.749 0.004
51 N 0.893 0.744 0.487
52 N 0.893 0.244 0.513
53 N 0.866 0.253 0.987
54 N 0.866 0.753 0.013
55 N 0.372 0.748 0.496
56 N 0.372 0.248 0.504
57 N 0.639 0.015 0.756
58 N 0.639 0.515 0.244
59 N 0.116 0.471 0.735
60 N 0.116 0.971 0.265
61 N 0.642 0.968 0.240
62 N 0.642 0.468 0.760
63 N 0.128 0.513 0.256
64 N 0.128 0.013 0.744

---

DFT (SCAN) results for Ho3Er at its PBEsol-relaxed geometry.

Properties
Its formation enthalpy at 0 K is 0.09 eV/f.u. The value obtained for the density of states at the Fermi level is 4.722 states/eV/cell. The energy above the most stable polymorph in this dataset comes out at 0.017 eV per atom.

a b c (Å): 4.862 4.862 4.862
angles (deg): 90.00 90.00 90.00
Sites, in units of the cell vectors:
1 Ho 0.500 0.500 0.000
2 Ho 0.000 0.500 0.500
3 Ho 0.500 0.000 0.500
4 Er 0.000 0.000 0.000

---

DFT (SCAN) results for MgTe2P at its PBEsol-relaxed geometry.

Properties
The value obtained for the density of states at the Fermi level is 2.731 states/eV/cell. The value obtained for the formation energy (no corrections) is -0.07 eV/atom. The energy above the most stable polymorph in this dataset comes out at 0.000 eV per atom.

a b c (Å): 4.113 4.113 7.096
angles (deg): 73.15 73.15 60.00
Sites, in units of the cell vectors:
1 Mg 0.508 0.508 0.475
2 P 0.248 0.248 0.256
3 Te 0.986 0.986 0.043
4 Te 0.758 0.758 0.727